A relaxed structure of Pb2CSe, computed with PBE.

Calculated values
Formation energy from raw total energies   0.762 eV/atom
VASP energy   -0.3138 Ry/atom
D(E_F)   4.0 states/eV/cell
Space-group type   I-42d
Theoretical density   7.73 g/cm³

abc: 6.625 6.625 6.814
angles: 60.91 60.91 90.00
Element x y z (fractional)
Pb (0.375, 0.445, 0.750)
Pb (0.555, 0.125, 0.250)
Pb (0.195, 0.625, 0.250)
Pb (0.875, 0.805, 0.750)
C (0.250, 0.750, 0.500)
C (0.500, 0.500, 0.000)
Se (0.750, 0.250, 0.500)
Se (0.000, 0.000, 0.000)

A relaxed structure of PbCSe3, computed with PBE.

Calculated values
Formation energy from raw total energies   0.782 eV/atom
VASP energy   -0.2863 Ry/atom
D(E_F)   3.2 states/eV/cell
Space-group type   Pm-3m
Theoretical density   7.67 g/cm³

abc: 4.622 4.622 4.622
angles: 90.00 90.00 90.00
Element x y z (fractional)
Pb (0.500, 0.500, 0.500)
Se (0.000, 0.500, 0.000)
Se (0.000, 0.000, 0.500)
Se (0.500, 0.000, 0.000)
C (0.000, 0.000, 0.000)

A relaxed structure of PbC2Se, computed with PBE.

Calculated values
Formation energy from raw total energies   2.497 eV/atom
VASP energy   -0.2876 Ry/atom
D(E_F)   2.8 states/eV/cell
Space-group type   Fm-3m
Theoretical density   8.47 g/cm³

abc: 4.415 4.415 4.415
angles: 60.00 60.00 60.00
Element x y z (fractional)
Pb (0.500, 0.500, 0.500)
C (0.250, 0.250, 0.250)
C (0.750, 0.750, 0.750)
Se (0.000, 0.000, 0.000)

A relaxed structure of PbC2Se, computed with PBE.

Calculated values
Formation energy from raw total energies   1.819 eV/atom
VASP energy   -0.3374 Ry/atom
D(E_F)   2.4 states/eV/cell
Space-group type   I-42d
Theoretical density   7.30 g/cm³

abc: 5.007 5.007 6.653
angles: 67.89 67.89 90.00
Element x y z (fractional)
Pb (0.750, 0.250, 0.500)
Pb (0.000, 0.000, 0.000)
C (0.584, 0.125, 0.250)
C (0.375, 0.416, 0.750)
C (0.875, 0.834, 0.750)
C (0.166, 0.625, 0.250)
Se (0.250, 0.750, 0.500)
Se (0.500, 0.500, 0.000)

A relaxed structure of SiPbC2Se, computed with PBE.

Calculated values
Formation energy from raw total energies   2.141 eV/atom
VASP energy   -0.2993 Ry/atom
D(E_F)   2.8 states/eV/cell
Space-group type   P4/mmm
Theoretical density   6.58 g/cm³

abc: 4.145 4.969 4.145
angles: 90.00 90.00 90.00
Element x y z (fractional)
Pb (0.500, 0.500, 0.500)
C (0.000, 0.000, 0.500)
C (0.500, 0.000, 0.000)
Si (0.000, 0.500, 0.000)
Se (0.000, 0.000, 0.000)

A relaxed structure of Tb8Pb3CSe3, computed with PBE.

Calculated values
Formation energy from raw total energies   -0.925 eV/atom
VASP energy   -0.4004 Ry/atom
D(E_F)   8.9 states/eV/cell
Space-group type   R-3m
Theoretical density   8.36 g/cm³

abc: 7.987 7.987 8.980
angles: 116.40 89.99 120.02
Element x y z (fractional)
Pb (0.500, 0.500, 0.000)
Pb (0.000, 0.500, 0.000)
Pb (0.000, 0.000, 0.000)
Se (0.000, 0.500, 0.500)
Se (0.500, 0.000, 0.500)
Se (0.500, 0.500, 0.500)
Tb (0.789, 0.019, 0.308)
Tb (0.261, 0.523, 0.284)
Tb (0.211, 0.981, 0.692)
Tb (0.230, 0.019, 0.308)
Tb (0.770, 0.981, 0.692)
Tb (0.739, 0.477, 0.716)
Tb (0.789, 0.578, 0.308)
Tb (0.211, 0.422, 0.692)
C (0.000, 0.000, 0.500)